No. 1
# DyHoSc2Tl4 | the Alexandria database | PBE-GGA | optimized geometry
# Density of states at the Fermi level: 6.96 states/eV/cell
# DFT formation energy: -287 meV/atom
# Raw total energy: -4.20 eV per atom
# SG: R-3m (166)
# Crystal system: trigonal
data_DyHoSc2Tl4
_chemical_formula_sum 'Dy1 Ho1 Sc2 Tl4'
_cell_length_a 5.230
_cell_length_b 5.230
_cell_length_c 9.076
_cell_angle_alpha 73.25
_cell_angle_beta 73.25
_cell_angle_gamma 60.00
_symmetry_space_group_name_H-M 'P 1'
_symmetry_Int_Tables_number 1
loop_
_symmetry_equiv_pos_as_xyz
'x,y,z'
loop_
_atom_site_label
_atom_site_type_symbol
_atom_site_fract_x
_atom_site_fract_y
_atom_site_fract_z
_atom_site_occupancy
Dy1 Dy 0.500 0.500 0.500 1
Ho1 Ho 0.000 0.000 0.000 1
Sc1 Sc 0.750 0.750 0.750 1
Sc2 Sc 0.250 0.250 0.250 1
Tl1 Tl 0.375 0.375 0.876 1
Tl2 Tl 0.875 0.875 0.374 1
Tl3 Tl 0.125 0.125 0.626 1
Tl4 Tl 0.625 0.625 0.124 1

No. 2
# Sb2RhPb | the Alexandria database | PBE-GGA | optimized geometry
# E_form (uncorrected): -0.16 eV per atom
# Density of states at the Fermi level: 1.86 states/eV/cell
# Raw total energy: -4.99 eV per atom
# SG: Cmmm (65)
# Crystal system: orthorhombic
data_Sb2RhPb
_chemical_formula_sum 'Sb2 Rh1 Pb1'
_cell_length_a 5.426
_cell_length_b 5.426
_cell_length_c 4.220
_cell_angle_alpha 90.00
_cell_angle_beta 90.00
_cell_angle_gamma 121.32
_symmetry_space_group_name_H-M 'P 1'
_symmetry_Int_Tables_number 1
loop_
_symmetry_equiv_pos_as_xyz
'x,y,z'
loop_
_atom_site_label
_atom_site_type_symbol
_atom_site_fract_x
_atom_site_fract_y
_atom_site_fract_z
_atom_site_occupancy
Sb1 Sb 0.826 0.174 0.000 1
Sb2 Sb 0.174 0.826 0.000 1
Rh1 Rh 0.000 0.000 0.500 1
Pb1 Pb 0.500 0.500 0.500 1

No. 3
# SrBeCl3 | the Alexandria database | PBE-GGA | optimized geometry
# E_form (uncorrected): -0.80 eV per atom
# Density of states at the Fermi level: 0.00 states/eV/cell
# Raw total energy: -2.99 eV per atom
# Offset from the most stable computed form: 406 meV/atom
# SG: Pm-3m (221)
# Crystal system: cubic
data_SrBeCl3
_chemical_formula_sum 'Sr1 Be1 Cl3'
_cell_length_a 5.628
_cell_length_b 5.628
_cell_length_c 5.628
_cell_angle_alpha 90.00
_cell_angle_beta 90.00
_cell_angle_gamma 90.00
_symmetry_space_group_name_H-M 'P 1'
_symmetry_Int_Tables_number 1
loop_
_symmetry_equiv_pos_as_xyz
'x,y,z'
loop_
_atom_site_label
_atom_site_type_symbol
_atom_site_fract_x
_atom_site_fract_y
_atom_site_fract_z
_atom_site_occupancy
Sr1 Sr 0.000 0.000 0.000 1
Be1 Be 0.500 0.500 0.500 1
Cl1 Cl 0.000 0.500 0.000 1
Cl2 Cl 0.000 0.000 0.500 1
Cl3 Cl 0.500 0.000 0.000 1

No. 4
# KSr2Cu | the Alexandria database | PBE-GGA | optimized geometry
# Density of states at the Fermi level: 2.95 states/eV/cell
# DFT formation energy: 29 meV/atom
# Raw total energy: -2.11 eV per atom
# Offset from the most stable computed form: 2 meV/atom
# SG: C2/m (12)
# Crystal system: monoclinic
data_KSr2Cu
_chemical_formula_sum 'K1 Sr2 Cu1'
_cell_length_a 4.475
_cell_length_b 4.475
_cell_length_c 11.420
_cell_angle_alpha 77.00
_cell_angle_beta 77.00
_cell_angle_gamma 60.71
_symmetry_space_group_name_H-M 'P 1'
_symmetry_Int_Tables_number 1
loop_
_symmetry_equiv_pos_as_xyz
'x,y,z'
loop_
_atom_site_label
_atom_site_type_symbol
_atom_site_fract_x
_atom_site_fract_y
_atom_site_fract_z
_atom_site_occupancy
Sr1 Sr 0.974 0.974 0.097 1
Sr2 Sr 0.526 0.526 0.403 1
K1 K 0.750 0.750 0.750 1
Cu1 Cu 0.250 0.250 0.250 1

No. 5
# Tb3Th12Zr5 | the Alexandria database | PBE-GGA | optimized geometry
# Density of states at the Fermi level: 140.08 states/eV/cell
# DFT formation energy: 1117 meV/atom
# Raw total energy: -6.17 eV per atom
# SG: Ia-3d (230)
# Crystal system: cubic
data_Tb3Th12Zr5
_chemical_formula_sum 'Tb12 Th48 Zr20'
_cell_length_a 15.532
_cell_length_b 15.532
_cell_length_c 15.532
_cell_angle_alpha 109.47
_cell_angle_beta 109.47
_cell_angle_gamma 109.47
_symmetry_space_group_name_H-M 'P 1'
_symmetry_Int_Tables_number 1
loop_
_symmetry_equiv_pos_as_xyz
'x,y,z'
loop_
_atom_site_label
_atom_site_type_symbol
_atom_site_fract_x
_atom_site_fract_y
_atom_site_fract_z
_atom_site_occupancy
Tb1 Tb 0.750 0.375 0.125 1
Tb2 Tb 0.875 0.750 0.125 1
Tb3 Tb 0.375 0.750 0.625 1
Tb4 Tb 0.250 0.125 0.375 1
Tb5 Tb 0.875 0.125 0.250 1
Tb6 Tb 0.375 0.625 0.250 1
Tb7 Tb 0.625 0.375 0.750 1
Tb8 Tb 0.125 0.875 0.750 1
Tb9 Tb 0.750 0.875 0.625 1
Tb10 Tb 0.625 0.250 0.375 1
Tb11 Tb 0.125 0.250 0.875 1
Tb12 Tb 0.250 0.625 0.875 1
Zr1 Zr 0.125 0.375 0.250 1
Zr2 Zr 0.000 0.500 0.000 1
Zr3 Zr 0.000 0.000 0.000 1
Zr4 Zr 0.375 0.250 0.125 1
Zr5 Zr 0.500 0.000 0.500 1
Zr6 Zr 0.500 0.500 0.000 1
Zr7 Zr 0.125 0.750 0.375 1
Zr8 Zr 0.750 0.125 0.875 1
Zr9 Zr 0.750 0.625 0.375 1
Zr10 Zr 0.375 0.125 0.750 1
Zr11 Zr 0.625 0.875 0.250 1
Zr12 Zr 0.500 0.500 0.500 1
Zr13 Zr 0.500 0.000 0.000 1
Zr14 Zr 0.000 0.000 0.500 1
Zr15 Zr 0.250 0.375 0.625 1
Zr16 Zr 0.250 0.875 0.125 1
Zr17 Zr 0.000 0.500 0.500 1
Zr18 Zr 0.875 0.250 0.625 1
Zr19 Zr 0.625 0.750 0.875 1
Zr20 Zr 0.875 0.625 0.750 1
Th1 Th 0.703 0.091 0.018 1
Th2 Th 0.316 0.518 0.427 1
Th3 Th 0.982 0.409 0.297 1
Th4 Th 0.518 0.203 0.091 1
Th5 Th 0.611 0.703 0.684 1
Th6 Th 0.982 0.573 0.184 1
Th7 Th 0.316 0.797 0.389 1
Th8 Th 0.073 0.889 0.091 1
Th9 Th 0.573 0.982 0.684 1
Th10 Th 0.703 0.611 0.184 1
Th11 Th 0.797 0.482 0.409 1
Th12 Th 0.816 0.927 0.018 1
Th13 Th 0.091 0.703 0.518 1
Th14 Th 0.409 0.427 0.111 1
Th15 Th 0.111 0.927 0.409 1
Th16 Th 0.389 0.091 0.573 1
Th17 Th 0.111 0.184 0.203 1
Th18 Th 0.482 0.684 0.073 1
Th19 Th 0.816 0.889 0.297 1
Th20 Th 0.091 0.389 0.073 1
Th21 Th 0.409 0.982 0.797 1
Th22 Th 0.573 0.591 0.389 1
Th23 Th 0.927 0.816 0.518 1
Th24 Th 0.797 0.316 0.889 1
Th25 Th 0.427 0.409 0.611 1
Th26 Th 0.073 0.184 0.482 1
Th27 Th 0.203 0.684 0.111 1
Th28 Th 0.184 0.111 0.703 1
Th29 Th 0.591 0.018 0.203 1
Th30 Th 0.909 0.611 0.927 1
Th31 Th 0.518 0.316 0.927 1
Th32 Th 0.611 0.909 0.427 1
Th33 Th 0.889 0.816 0.797 1
Th34 Th 0.889 0.073 0.591 1
Th35 Th 0.909 0.297 0.482 1
Th36 Th 0.184 0.073 0.982 1
Th37 Th 0.591 0.573 0.889 1
Th38 Th 0.427 0.018 0.316 1
Th39 Th 0.297 0.389 0.816 1
Th40 Th 0.203 0.518 0.591 1
Th41 Th 0.927 0.111 0.909 1
Th42 Th 0.684 0.203 0.611 1
Th43 Th 0.482 0.797 0.909 1
Th44 Th 0.018 0.427 0.816 1
Th45 Th 0.389 0.297 0.316 1
Th46 Th 0.018 0.591 0.703 1
Th47 Th 0.684 0.482 0.573 1
Th48 Th 0.297 0.909 0.982 1

No. 6
# Nb3VGa2 | the Alexandria database | PBE-GGA | optimized geometry
# Density of states at the Fermi level: 8.14 states/eV/cell
# DFT formation energy: -151 meV/atom
# Raw total energy: -7.71 eV per atom
# SG: Cmmm (65)
# Crystal system: orthorhombic
data_Nb3VGa2
_chemical_formula_sum 'Nb6 V2 Ga4'
_cell_length_a 4.412
_cell_length_b 5.761
_cell_length_c 9.566
_cell_angle_alpha 79.81
_cell_angle_beta 62.52
_cell_angle_gamma 67.46
_symmetry_space_group_name_H-M 'P 1'
_symmetry_Int_Tables_number 1
loop_
_symmetry_equiv_pos_as_xyz
'x,y,z'
loop_
_atom_site_label
_atom_site_type_symbol
_atom_site_fract_x
_atom_site_fract_y
_atom_site_fract_z
_atom_site_occupancy
Nb1 Nb 0.420 0.657 0.752 1
Nb2 Nb 0.260 0.000 0.240 1
Nb3 Nb 0.580 0.343 0.248 1
Nb4 Nb 0.923 0.657 0.248 1
Nb5 Nb 0.077 0.343 0.752 1
Nb6 Nb 0.740 0.000 0.760 1
V1 V 0.665 0.670 0.000 1
V2 V 0.335 0.330 0.000 1
Ga1 Ga 0.000 0.000 0.000 1
Ga2 Ga 0.500 0.000 0.500 1
Ga3 Ga 0.163 0.674 0.500 1
Ga4 Ga 0.837 0.326 0.500 1